# NaCrSnF6 GGA+U relaxed
data_NaCrSnF6
_chemical_formula_sum 'Na2 Cr2 Sn2 F12'
_cell_length_a 5.6285
_cell_length_b 5.6285
_cell_length_c 9.9153
_cell_angle_alpha 90.00
_cell_angle_beta 90.00
_cell_angle_gamma 120.00
_symmetry_space_group_name_H-M 'P 1'
_symmetry_Int_Tables_number 1
loop_
_symmetry_equiv_pos_as_xyz
'x,y,z'
loop_
_atom_site_label
_atom_site_type_symbol
_atom_site_fract_x
_atom_site_fract_y
_atom_site_fract_z
_atom_site_occupancy
Na1 Na 0.3333 0.6667 0.2500 1
Na2 Na 0.6667 0.3333 0.7500 1
Cr1 Cr 0.3333 0.6667 0.7500 1
Cr2 Cr 0.6667 0.3333 0.2500 1
Sn1 Sn 0.0000 0.0000 0.0000 1
Sn2 Sn 0.0000 0.0000 0.5000 1
F1 F 0.0462 0.3783 0.6389 1
F2 F 0.0462 0.6679 0.8611 1
F3 F 0.3321 0.3783 0.8611 1
F4 F 0.3321 0.9538 0.6389 1
F5 F 0.3783 0.0462 0.1389 1
F6 F 0.3783 0.3321 0.3611 1
F7 F 0.6217 0.6679 0.6389 1
F8 F 0.6217 0.9538 0.8611 1
F9 F 0.6679 0.0462 0.3611 1
F10 F 0.6679 0.6217 0.1389 1
F11 F 0.9538 0.3321 0.1389 1
F12 F 0.9538 0.6217 0.3611 1
# SG: No. 163
# E_tot in eV/cell: -95.3